Entry 1:
Entry from Alexandria via LeMat-Bulk: a geometry-optimized Re2Ru2Rh structure (PBE).

a b c (Å): 4.7260 6.1054 6.6833
angles (deg): 68.50 61.80 59.08
Atoms (fractional coordinates):
Ru  0.7545  0.7457  0.4997
Ru  0.5464  0.3567  0.7011
Ru  0.4536  0.6433  0.2989
Ru  0.2455  0.2543  0.5003
Rh  0.6506  0.0535  0.1000
Rh  0.3494  0.9465  0.9000
Re  0.9493  0.1470  0.3032
Re  0.0507  0.8530  0.6968
Re  0.1442  0.5492  0.1088
Re  0.8558  0.4508  0.8912

Calculated volume: 144 Å³/cell
E_tot: -10.16 eV/atom

---

Entry 2:
Entry from Alexandria via LeMat-Bulk: a geometry-optimized CaNp2Se4 structure (PBE).

a b c (Å): 4.0823 7.0472 13.9710
angles (deg): 90.00 90.00 106.84
Atoms (fractional coordinates):
Se  0.5000  0.0000  0.5000
Se  0.0424  0.0848  0.2500
Se  0.9576  0.9152  0.7500
Se  0.2261  0.4523  0.6206
Se  0.2261  0.4523  0.8794
Se  0.5000  0.0000  0.0000
Se  0.7739  0.5477  0.3794
Se  0.7739  0.5477  0.1206
Ca  0.6128  0.2257  0.7500
Ca  0.3872  0.7743  0.2500
Np  0.8662  0.7324  0.9328
Np  0.1338  0.2676  0.0672
Np  0.8662  0.7324  0.5672
Np  0.1338  0.2676  0.4328

Formation energy from raw total energies: -1348 meV/atom
Calculated volume: 385 Å³/cell

---

Entry 3:
Entry from Alexandria via LeMat-Bulk: a geometry-optimized KPb structure (PBE).

a b c (Å): 9.6526 6.2111 10.5600
angles (deg): 90.00 90.00 90.00
Atoms (fractional coordinates):
Pb  0.0485  0.7500  0.0918
Pb  0.3595  0.7500  0.1492
Pb  0.5485  0.7500  0.4082
Pb  0.6405  0.2500  0.8508
Pb  0.1405  0.2500  0.6492
Pb  0.4515  0.2500  0.5918
Pb  0.9515  0.2500  0.9082
Pb  0.8595  0.7500  0.3508
K  0.8007  0.2500  0.5356
K  0.3007  0.2500  0.9644
K  0.6993  0.7500  0.0356
K  0.9082  0.7500  0.7229
K  0.0918  0.2500  0.2771
K  0.1993  0.7500  0.4644
K  0.4082  0.7500  0.7771
K  0.5918  0.2500  0.2229

Calculated volume: 633 Å³/cell
E_tot: -2.54 eV/atom

---

Entry 4:
Entry from Alexandria via LeMat-Bulk: a geometry-optimized Be6Sn structure (PBE).

a b c (Å): 5.0668 5.0668 5.0668
angles (deg): 109.47 109.47 109.47
Atoms (fractional coordinates):
Be  0.5000  0.2500  0.7500
Be  0.2500  0.5000  0.7500
Be  0.7500  0.5000  0.2500
Be  0.5000  0.7500  0.2500
Be  0.7500  0.2500  0.5000
Be  0.2500  0.7500  0.5000
Sn  0.0000  0.0000  0.0000

Calculated volume: 100 Å³/cell
E_tot: -2.67 eV/atom

---

Entry 5:
Entry from Alexandria via LeMat-Bulk: a geometry-optimized TmMg2Pd structure (PBE).

a b c (Å): 3.3405 3.3405 7.6036
angles (deg): 90.00 90.00 90.00
Atoms (fractional coordinates):
Pd  0.5000  0.5000  0.0000
Mg  0.0000  0.0000  0.1929
Mg  0.0000  0.0000  0.8071
Tm  0.5000  0.5000  0.5000

Calculated volume: 85 Å³/cell
E_tot: -3.57 eV/atom

---

Entry 6:
Entry from Alexandria via LeMat-Bulk: a geometry-optimized HgPdPtO4 structure (PBE).

a b c (Å): 5.8608 6.8969 6.2086
angles (deg): 116.75 90.00 115.14
Atoms (fractional coordinates):
O  0.2605  0.9706  0.2353
O  0.3079  0.6157  0.7646
O  0.7395  0.0294  0.7647
O  0.6921  0.3843  0.6488
O  0.3079  0.6157  0.3512
O  0.7101  0.9706  0.2353
O  0.2899  0.0294  0.7647
O  0.6921  0.3843  0.2354
Pt  0.5000  0.5000  0.5000
Pt  0.0000  0.5000  0.5000
Pd  0.5000  0.0000  0.0000
Pd  0.5000  0.0000  0.5000
Hg  0.1575  0.3150  0.9075
Hg  0.8425  0.6850  0.0925

Formation energy from raw total energies: -258 meV/atom
Calculated volume: 197 Å³/cell

---

Entry 7:
Entry from Alexandria via LeMat-Bulk: a geometry-optimized TbCo4 structure (PBE).

a b c (Å): 4.5527 4.5527 4.5527
angles (deg): 90.00 90.00 90.00
Atoms (fractional coordinates):
Tb  0.5000  0.5000  0.5000
Co  0.0000  0.5000  0.5000
Co  0.0000  0.0000  0.0000
Co  0.5000  0.0000  0.5000
Co  0.5000  0.5000  0.0000

Calculated volume: 94 Å³/cell
E_tot: -4.69 eV/atom

---

Entry 8:
Entry from Alexandria via LeMat-Bulk: a geometry-optimized HfTiTcAg structure (PBE).

a b c (Å): 4.6100 4.6100 4.6100
angles (deg): 60.00 60.00 60.00
Atoms (fractional coordinates):
Ti  0.5000  0.5000  0.5000
Hf  0.0000  0.0000  0.0000
Tc  0.2500  0.2500  0.2500
Ag  0.7500  0.7500  0.7500

Calculated volume: 69 Å³/cell
E_tot: -7.93 eV/atom

---

Entry 9:
Entry from Alexandria via LeMat-Bulk: a geometry-optimized MgSb2IrBr structure (PBE).

a b c (Å): 5.3956 4.7289 5.3956
angles (deg): 90.00 90.00 90.00
Atoms (fractional coordinates):
Mg  0.0000  0.0000  0.0000
Ir  0.0000  0.5000  0.0000
Sb  0.5000  0.0000  0.0000
Sb  0.0000  0.0000  0.5000
Br  0.5000  0.5000  0.5000

Formation energy from raw total energies: 1009 meV/atom
Calculated volume: 138 Å³/cell

---

Entry 10:
Entry from Alexandria via LeMat-Bulk: a geometry-optimized CaZnAsI structure (PBE).

a b c (Å): 4.2717 4.2717 15.0935
angles (deg): 81.86 81.86 60.00
Atoms (fractional coordinates):
I  0.2131  0.2131  0.3608
I  0.7869  0.7869  0.6392
Zn  0.3127  0.3127  0.0619
Zn  0.6873  0.6873  0.9381
As  0.3711  0.3711  0.8867
As  0.6289  0.6289  0.1133
Ca  0.0780  0.0780  0.7659
Ca  0.9220  0.9220  0.2341

Formation energy from raw total energies: -1003 meV/atom
Calculated volume: 235 Å³/cell

---

Entry 11:
Entry from Alexandria via LeMat-Bulk: a geometry-optimized InPdN2 structure (PBE).

a b c (Å): 6.5233 6.5233 6.5233
angles (deg): 29.31 29.31 29.31
Atoms (fractional coordinates):
N  0.1020  0.1020  0.1020
N  0.8980  0.8980  0.8980
In  0.5000  0.5000  0.5000
Pd  0.0000  0.0000  0.0000

Formation energy from raw total energies: 842 meV/atom
Calculated volume: 59 Å³/cell

---

Entry 12:
Entry from Alexandria via LeMat-Bulk: a geometry-optimized MgCdIn3Ga structure (PBE).

a b c (Å): 3.4699 9.3424 9.4225
angles (deg): 109.83 90.00 90.00
Atoms (fractional coordinates):
Mg  0.7500  0.8772  0.7101
Mg  0.2500  0.1228  0.2899
In  0.2500  0.6367  0.4559
In  0.7500  0.3633  0.5441
In  0.2500  0.1271  0.9510
In  0.2500  0.6253  0.7938
In  0.7500  0.8729  0.0490
In  0.7500  0.3747  0.2062
Cd  0.2500  0.1178  0.6247
Cd  0.7500  0.8822  0.3753
Ga  0.2500  0.6161  0.1194
Ga  0.7500  0.3839  0.8806

Calculated volume: 287 Å³/cell
E_tot: -2.30 eV/atom

---

Entry 13:
Entry from Alexandria via LeMat-Bulk: a geometry-optimized InIF3 structure (PBE).

a b c (Å): 4.8329 4.8329 4.8329
angles (deg): 90.00 90.00 90.00
Atoms (fractional coordinates):
In  0.5000  0.5000  0.5000
F  0.5000  0.0000  0.0000
F  0.0000  0.0000  0.5000
F  0.0000  0.5000  0.0000
I  0.0000  0.0000  0.0000

Formation energy from raw total energies: -994 meV/atom
Calculated volume: 113 Å³/cell

---

Entry 14:
Entry from Alexandria via LeMat-Bulk: a geometry-optimized K12Hg3Cl5 structure (PBE).

a b c (Å): 17.0237 17.0237 17.0237
angles (deg): 109.47 109.47 109.47
Atoms (fractional coordinates):
K  0.9153  0.8247  0.7904
K  0.2096  0.6753  0.0847
K  0.1753  0.0906  0.9657
K  0.5343  0.2096  0.1249
K  0.0906  0.9153  0.1249
K  0.6249  0.0343  0.2096
K  0.9657  0.3751  0.2904
K  0.8751  0.5847  0.9094
K  0.7904  0.3247  0.9153
K  0.4094  0.0343  0.3247
K  0.1249  0.7096  0.5343
K  0.4153  0.1249  0.5906
K  0.5906  0.6249  0.4153
K  0.4657  0.7904  0.8751
K  0.5847  0.7096  0.6753
K  0.3247  0.7904  0.4153
K  0.3751  0.9657  0.7904
K  0.2904  0.8751  0.9657
K  0.3751  0.4094  0.0847
K  0.9657  0.5906  0.1753
K  0.0847  0.1753  0.2096
K  0.6249  0.5906  0.9153
K  0.4657  0.6753  0.0906
K  0.9153  0.0906  0.6249
K  0.7904  0.4657  0.3751
K  0.0343  0.6249  0.7096
K  0.4094  0.3751  0.5847
K  0.6753  0.4657  0.5906
K  0.9094  0.8247  0.5343
K  0.7096  0.5847  0.1753
K  0.5343  0.3247  0.9094
K  0.2096  0.5343  0.6249
K  0.3247  0.5343  0.4094
K  0.1753  0.0847  0.7096
K  0.9094  0.0847  0.8751
K  0.7096  0.1249  0.0343
K  0.0847  0.9094  0.3751
K  0.8247  0.9094  0.0343
K  0.4153  0.2904  0.3247
K  0.0343  0.4094  0.8247
K  0.8247  0.9153  0.2904
K  0.1249  0.4153  0.0906
K  0.8751  0.2904  0.4657
K  0.5847  0.8751  0.4094
K  0.6753  0.2096  0.5847
K  0.2904  0.4153  0.8247
K  0.5906  0.9657  0.6753
K  0.0906  0.1753  0.4657
Cl  0.6250  0.7500  0.8750
Cl  0.5000  0.5000  0.0000
Cl  0.0000  0.5000  0.0000
Cl  0.7500  0.6250  0.3750
Cl  0.2500  0.8750  0.1250
Cl  0.7500  0.1250  0.8750
Cl  0.5000  0.0000  0.0000
Cl  0.3750  0.2500  0.1250
Cl  0.8750  0.2500  0.6250
Cl  0.0000  0.0000  0.5000
Cl  0.5000  0.0000  0.5000
Cl  0.1250  0.3750  0.2500
Cl  0.0000  0.5000  0.5000
Cl  0.3750  0.1250  0.7500
Cl  0.8750  0.6250  0.7500
Cl  0.1250  0.7500  0.3750
Cl  0.6250  0.8750  0.2500
Cl  0.5000  0.5000  0.5000
Cl  0.2500  0.3750  0.6250
Cl  0.0000  0.0000  0.0000
Hg  0.1250  0.8750  0.7500
Hg  0.3750  0.7500  0.6250
Hg  0.6250  0.3750  0.7500
Hg  0.7500  0.3750  0.1250
Hg  0.8750  0.7500  0.1250
Hg  0.2500  0.1250  0.3750
Hg  0.6250  0.2500  0.3750
Hg  0.2500  0.6250  0.8750
Hg  0.3750  0.6250  0.2500
Hg  0.1250  0.2500  0.8750
Hg  0.7500  0.8750  0.6250
Hg  0.8750  0.1250  0.2500

Formation energy from raw total energies: -923 meV/atom
Calculated volume: 3798 Å³/cell

---

Entry 15:
Entry from Alexandria via LeMat-Bulk: a geometry-optimized YSb2Au structure (PBE).

a b c (Å): 3.4378 3.4378 8.7895
angles (deg): 90.00 90.00 89.99
Atoms (fractional coordinates):
Y  0.0000  0.0000  0.5324
Sb  0.0000  0.0000  0.9498
Sb  0.5000  0.5000  0.2790
Au  0.5000  0.5000  0.7388

Formation energy from raw total energies: -364 meV/atom
Calculated volume: 104 Å³/cell

---

Entry 16:
Entry from Alexandria via LeMat-Bulk: a geometry-optimized Rb2UCl5O structure (PBE).

a b c (Å): 7.3557 7.3557 7.3557
angles (deg): 93.64 117.92 117.92
Atoms (fractional coordinates):
Rb  0.5000  0.7439  0.2439
Rb  0.5000  0.2439  0.7439
U  0.0000  0.9854  0.9854
Cl  0.0000  0.2418  0.2418
Cl  0.4927  0.2419  0.2419
Cl  0.0000  0.2419  0.7493
Cl  0.0000  0.7493  0.2419
Cl  0.5073  0.7493  0.7493
O  0.0000  0.8027  0.8027

Formation energy from raw total energies: -2054 meV/atom
Calculated volume: 290 Å³/cell

---

Entry 17:
Entry from Alexandria via LeMat-Bulk: a geometry-optimized Na2TmPaTe4 structure (PBE).

a b c (Å): 4.3242 7.6118 8.0710
angles (deg): 107.79 90.00 90.00
Atoms (fractional coordinates):
Te  0.5000  0.7603  0.7677
Te  0.0000  0.7518  0.2377
Te  0.5000  0.2397  0.2323
Te  0.0000  0.2482  0.7623
Tm  0.0000  0.0000  0.0000
Na  0.0000  0.5000  0.5000
Na  0.5000  0.0000  0.5000
Pa  0.5000  0.5000  0.0000

Formation energy from raw total energies: -1050 meV/atom
Calculated volume: 253 Å³/cell

---

Entry 18:
Entry from Alexandria via LeMat-Bulk: a geometry-optimized MoHIr2W structure (PBE).

a b c (Å): 3.9100 3.9100 4.1010
angles (deg): 90.00 90.00 90.00
Atoms (fractional coordinates):
W  0.0000  0.0000  0.5000
Ir  0.0000  0.5000  0.0000
Ir  0.5000  0.0000  0.0000
Mo  0.5000  0.5000  0.5000
H  0.0000  0.0000  0.0000

Calculated volume: 63 Å³/cell
E_tot: -9.06 eV/atom

---

Entry 19:
Entry from Alexandria via LeMat-Bulk: a geometry-optimized Sc2GaHgH structure (PBE).

a b c (Å): 4.4317 4.4317 4.2304
angles (deg): 90.00 90.00 90.00
Atoms (fractional coordinates):
H  0.0000  0.0000  0.0000
Sc  0.0000  0.5000  0.0000
Sc  0.5000  0.0000  0.0000
Hg  0.5000  0.5000  0.5000
Ga  0.0000  0.0000  0.5000

Calculated volume: 83 Å³/cell
E_tot: -4.20 eV/atom

---

Entry 20:
Entry from Alexandria via LeMat-Bulk: a geometry-optimized Cs3GaSb structure (PBE).

a b c (Å): 7.4299 7.4299 7.4299
angles (deg): 90.00 90.00 90.00
Atoms (fractional coordinates):
Cs  0.5000  0.0000  0.0000
Cs  0.0000  0.0000  0.5000
Cs  0.0000  0.5000  0.0000
Ga  0.5000  0.5000  0.5000
Sb  0.0000  0.0000  0.0000

Formation energy from raw total energies: 195 meV/atom
Calculated volume: 410 Å³/cell

---

Entry 21:
Entry from Alexandria via LeMat-Bulk: a geometry-optimized Ba2CoPb structure (PBE).

a b c (Å): 4.1702 5.6295 6.9986
angles (deg): 90.00 90.00 90.00
Atoms (fractional coordinates):
Co  0.0000  0.0000  0.3791
Ba  0.5000  0.5000  0.3714
Ba  0.0000  0.0000  0.8797
Pb  0.5000  0.5000  0.8698

Calculated volume: 164 Å³/cell
E_tot: -3.30 eV/atom

---

Entry 22:
Entry from Alexandria via LeMat-Bulk: a geometry-optimized RbHf2Cr structure (PBE).

a b c (Å): 7.4618 7.4618 7.4636
angles (deg): 60.01 60.01 90.00
Atoms (fractional coordinates):
Cr  0.2500  0.7500  0.5000
Cr  0.5000  0.5000  0.0000
Hf  0.8750  0.6250  0.7500
Hf  0.3750  0.6250  0.7500
Hf  0.3750  0.1250  0.2500
Hf  0.3750  0.6250  0.2500
Rb  0.7500  0.2500  0.5000
Rb  0.0000  0.0000  0.0000

Calculated volume: 294 Å³/cell
E_tot: -6.32 eV/atom

---

Number 1: spin magnetization 0.0 μB per cell. Number 2: spin magnetization 16.0 μB per cell. Number 3: spin magnetization 0.0 μB per cell. Number 4: spin magnetization 0.0 μB per cell. Number 5: spin magnetization 0.0 μB per cell. Number 6: spin magnetization 0.0 μB per cell. Number 7: spin magnetization 5.4 μB per cell. Number 8: spin magnetization 0.0 μB per cell. Number 9: spin magnetization 0.0 μB per cell. Number 10: spin magnetization 0.0 μB per cell. Number 11: spin magnetization 0.0 μB per cell. Number 12: spin magnetization 0.0 μB per cell. Number 13: spin magnetization 0.0 μB per cell. Number 14: spin magnetization 7.2 μB per cell. Number 15: spin magnetization 0.0 μB per cell. Number 16: spin magnetization 1.0 μB per cell. Number 17: spin magnetization 1.9 μB per cell. Number 18: spin magnetization 0.0 μB per cell. Number 19: spin magnetization 1.1 μB per cell. Number 20: spin magnetization 1.0 μB per cell. Number 21: spin magnetization 1.8 μB per cell. Number 22: spin magnetization 0.0 μB per cell.